AcNdBe2Si2 | GGA-PBE | relaxed

Geometry as POSCAR:
```
AcNdBe2Si2
1.0
4.0099 0.0000 0.0000
-2.0050 3.4727 0.0000
0.0000 0.0000 8.8937
Ac Nd Be Si
1 1 2 2
Direct
0.0000 0.0000 0.0000
0.0000 0.0000 0.5000
0.3333 0.6667 0.7360
0.6667 0.3333 0.2640
0.3333 0.6667 0.2652
0.6667 0.3333 0.7348
```

Calculated values
electronic total energy	-30.27	eV per cell
calculated volume	20.6	Å³ per atom
formation energy without anion corrections	-299	kJ/mol of formula units
spin magnetization	0.0	Bohr magnetons per cell
SG	No. 164

***

CaInI2N | GGA-PBE | relaxed

Geometry as POSCAR:
```
CaInI2N
1.0
6.1702 0.0000 0.0000
0.0000 6.1702 0.0000
0.0000 0.0000 3.9931
Ca In I N
1 1 2 1
Direct
0.0000 0.0000 0.0000
0.5000 0.5000 0.5000
0.0000 0.5000 0.5000
0.5000 0.0000 0.5000
0.5000 0.5000 0.0000
```

Calculated values
electronic total energy	-16.22	eV per cell
calculated volume	30.4	Å³ per atom
formation energy without anion corrections	-5	kJ/mol of formula units
spin magnetization	0.3	Bohr magnetons per cell
SG	No. 123
excess energy over the best structure of this formula in the dataset	117	meV per atom

***

Mg2NpO6 | GGA-PBE | relaxed

Geometry as POSCAR:
```
Mg2NpO6
1.0
3.3558 0.0000 0.0000
0.0697 4.8973 0.0000
0.7551 0.3992 7.4935
Mg Np O
2 1 6
Direct
0.0717 0.0351 0.1936
0.9283 0.9649 0.8064
0.5000 0.5000 0.5000
0.0221 0.7034 0.3758
0.3943 0.1210 0.9518
0.4524 0.7670 0.6835
0.5476 0.2330 0.3165
0.6057 0.8790 0.0482
0.9779 0.2966 0.6242
```

Calculated values
electronic total energy	-66.63	eV per cell
calculated volume	13.7	Å³ per atom
formation energy without anion corrections	-2002	kJ/mol of formula units
spin magnetization	1.0	Bohr magnetons per cell
SG	No. 2

***

KRb2TlCl6 | GGA-PBE | relaxed

Geometry as POSCAR:
```
KRb2TlCl6
1.0
0.0000 5.5928 5.5928
5.5928 0.0000 5.5928
5.5928 5.5928 0.0000
K Rb Tl Cl
1 2 1 6
Direct
0.0000 0.0000 0.0000
0.2500 0.2500 0.2500
0.7500 0.7500 0.7500
0.5000 0.5000 0.5000
0.2663 0.2663 0.7337
0.2663 0.7337 0.2663
0.2663 0.7337 0.7337
0.7337 0.2663 0.2663
0.7337 0.2663 0.7337
0.7337 0.7337 0.2663
```

Calculated values
electronic total energy	-30.97	eV per cell
calculated volume	35.0	Å³ per atom
formation energy without anion corrections	-1398	kJ/mol of formula units
spin magnetization	0.0	Bohr magnetons per cell
SG	No. 225

***

Ca2Cd5Hg3 | GGA-PBE | relaxed

Geometry as POSCAR:
```
Ca2Cd5Hg3
1.0
-6.2066 6.6934 3.1438
6.2066 -6.6934 3.1438
6.2066 6.6934 -3.1438
Ca Cd Hg
4 10 6
Direct
0.2462 0.1249 0.3711
0.2538 0.6249 0.8788
0.7462 0.3751 0.1212
0.7538 0.8751 0.6289
0.1426 0.3726 0.5153
0.2500 0.0030 0.7530
0.2500 0.2500 0.0000
0.2500 0.4970 0.2470
0.3574 0.8726 0.2300
0.6426 0.1274 0.7700
0.7500 0.5030 0.7530
0.7500 0.7500 0.0000
0.7500 0.9970 0.2470
0.8574 0.6274 0.4847
0.1496 0.8760 0.0256
0.2500 0.7500 0.5000
0.3504 0.3760 0.7264
0.6496 0.6240 0.2736
0.7500 0.2500 0.5000
0.8504 0.1240 0.9744
```

Calculated values
electronic total energy	-23.46	eV per cell
calculated volume	26.1	Å³ per atom
spin magnetization	0.0	Bohr magnetons per cell
formation energy	-0.22	eV per atom
SG	No. 72
excess energy over the best structure of this formula in the dataset	27	meV per atom

***

LiAcTb2 | GGA-PBE | relaxed

Geometry as POSCAR:
```
LiAcTb2
1.0
1.8079 1.0438 12.4270
-1.8079 1.0438 12.4270
0.0000 -2.0876 12.4270
Li Ac Tb
1 1 2
Direct
0.0000 0.0000 0.0000
0.5000 0.5000 0.5000
0.0875 0.0875 0.0875
0.9125 0.9125 0.9125
```

Calculated values
electronic total energy	-14.24	eV per cell
calculated volume	35.2	Å³ per atom
spin magnetization	0.0	Bohr magnetons per cell
formation energy	0.26	eV per atom
SG	No. 166
excess energy over the best structure of this formula in the dataset	161	meV per atom